(1)
First-principles (PBE-GGA) data for a relaxed structure of MgPaFe, as listed in the Open Quantum Materials Database. Values from VASP.

Cell and atoms, written as Quantum ESPRESSO input:
```
&SYSTEM
  ibrav = 0, nat = 3, ntyp = 3
/
ATOMIC_SPECIES
Mg 24.30 Mg.upf
Pa 231.04 Pa.upf
Fe 55.84 Fe.upf
CELL_PARAMETERS angstrom
0.0000 3.2195 3.2195
3.2195 0.0000 3.2195
3.2195 3.2195 0.0000
ATOMIC_POSITIONS crystal
Mg 0.0000 0.0000 0.0000
Pa 0.7500 0.7500 0.7500
Fe 0.5000 0.5000 0.5000
```

Summary:
For the total moment, the calculation gives 0.8 Bohr magnetons per cell. As for the volume: 22.2 Å³ per atom. For the total energy, the calculation gives -5.22 eV per atom.

***

(2)
First-principles (PBE-GGA) data for a relaxed structure of MgFePtPb, as listed in the Open Quantum Materials Database. Values from VASP.

Cell and atoms, written as Quantum ESPRESSO input:
```
&SYSTEM
  ibrav = 0, nat = 4, ntyp = 4
/
ATOMIC_SPECIES
Mg 24.30 Mg.upf
Fe 55.84 Fe.upf
Pt 195.08 Pt.upf
Pb 207.20 Pb.upf
CELL_PARAMETERS angstrom
0.0000 3.2893 3.2893
3.2893 0.0000 3.2893
3.2893 3.2893 0.0000
ATOMIC_POSITIONS crystal
Mg 0.0000 0.0000 0.0000
Fe 0.5000 0.5000 0.5000
Pt 0.7500 0.7500 0.7500
Pb 0.2500 0.2500 0.2500
```

Summary:
For the total moment, the calculation gives 2.8 Bohr magnetons per cell. As for the volume: 17.8 Å³ per atom. For the total energy, the calculation gives -4.86 eV per atom.

***

(3)
First-principles (PBE-GGA) data for a relaxed structure of MgFeRePb, as listed in the Open Quantum Materials Database. Values from VASP.

Cell and atoms, written as Quantum ESPRESSO input:
```
&SYSTEM
  ibrav = 0, nat = 4, ntyp = 4
/
ATOMIC_SPECIES
Mg 24.30 Mg.upf
Fe 55.84 Fe.upf
Re 186.21 Re.upf
Pb 207.20 Pb.upf
CELL_PARAMETERS angstrom
0.0000 3.2280 3.2280
3.2280 0.0000 3.2280
3.2280 3.2280 0.0000
ATOMIC_POSITIONS crystal
Mg 0.0000 0.0000 0.0000
Fe 0.5000 0.5000 0.5000
Re 0.7500 0.7500 0.7500
Pb 0.2500 0.2500 0.2500
```

Summary:
For the total moment, the calculation gives 3.2 Bohr magnetons per cell. As for the volume: 16.8 Å³ per atom. For the total energy, the calculation gives -5.76 eV per atom.

***

(4)
First-principles (PBE-GGA) data for a relaxed structure of MgFeSiPb, as listed in the Open Quantum Materials Database. Values from VASP.

Cell and atoms, written as Quantum ESPRESSO input:
```
&SYSTEM
  ibrav = 0, nat = 4, ntyp = 4
/
ATOMIC_SPECIES
Mg 24.30 Mg.upf
Fe 55.84 Fe.upf
Si 28.09 Si.upf
Pb 207.20 Pb.upf
CELL_PARAMETERS angstrom
0.0000 3.2366 3.2366
3.2366 0.0000 3.2366
3.2366 3.2366 0.0000
ATOMIC_POSITIONS crystal
Mg 0.0000 0.0000 0.0000
Fe 0.5000 0.5000 0.5000
Si 0.7500 0.7500 0.7500
Pb 0.2500 0.2500 0.2500
```

Summary:
For the total moment, the calculation gives 1.7 Bohr magnetons per cell. As for the volume: 17.0 Å³ per atom. For the total energy, the calculation gives -4.26 eV per atom.

***

(5)
First-principles (PBE-GGA) data for a relaxed structure of MgFeSnPb, as listed in the Open Quantum Materials Database. Values from VASP.

Cell and atoms, written as Quantum ESPRESSO input:
```
&SYSTEM
  ibrav = 0, nat = 4, ntyp = 4
/
ATOMIC_SPECIES
Mg 24.30 Mg.upf
Fe 55.84 Fe.upf
Sn 118.71 Sn.upf
Pb 207.20 Pb.upf
CELL_PARAMETERS angstrom
0.0000 3.5211 3.5211
3.5211 0.0000 3.5211
3.5211 3.5211 0.0000
ATOMIC_POSITIONS crystal
Mg 0.0000 0.0000 0.0000
Fe 0.5000 0.5000 0.5000
Sn 0.7500 0.7500 0.7500
Pb 0.2500 0.2500 0.2500
```

Summary:
For the total moment, the calculation gives 2.4 Bohr magnetons per cell. As for the volume: 21.8 Å³ per atom. For the total energy, the calculation gives -4.05 eV per atom.

***

(6)
First-principles (PBE-GGA) data for a relaxed structure of MgFeTcPb, as listed in the Open Quantum Materials Database. Values from VASP.

Cell and atoms, written as Quantum ESPRESSO input:
```
&SYSTEM
  ibrav = 0, nat = 4, ntyp = 4
/
ATOMIC_SPECIES
Mg 24.30 Mg.upf
Fe 55.84 Fe.upf
Tc 98.00 Tc.upf
Pb 207.20 Pb.upf
CELL_PARAMETERS angstrom
0.0000 3.2260 3.2260
3.2260 0.0000 3.2260
3.2260 3.2260 0.0000
ATOMIC_POSITIONS crystal
Mg 0.0000 0.0000 0.0000
Fe 0.7500 0.7500 0.7500
Tc 0.2500 0.2500 0.2500
Pb 0.5000 0.5000 0.5000
```

Summary:
For the total moment, the calculation gives 2.5 Bohr magnetons per cell. As for the volume: 16.8 Å³ per atom. For the total energy, the calculation gives -5.46 eV per atom.

***

(7)
First-principles (PBE-GGA) data for a relaxed structure of MgFePbW, as listed in the Open Quantum Materials Database. Values from VASP.

Cell and atoms, written as Quantum ESPRESSO input:
```
&SYSTEM
  ibrav = 0, nat = 4, ntyp = 4
/
ATOMIC_SPECIES
Mg 24.30 Mg.upf
Fe 55.84 Fe.upf
Pb 207.20 Pb.upf
W 183.84 W.upf
CELL_PARAMETERS angstrom
0.0000 3.2735 3.2735
3.2735 0.0000 3.2735
3.2735 3.2735 0.0000
ATOMIC_POSITIONS crystal
Mg 0.0000 0.0000 0.0000
Fe 0.7500 0.7500 0.7500
Pb 0.5000 0.5000 0.5000
W 0.2500 0.2500 0.2500
```

Summary:
For the total moment, the calculation gives 3.1 Bohr magnetons per cell. As for the volume: 17.5 Å³ per atom. For the total energy, the calculation gives -5.72 eV per atom.

***

(8)
First-principles (PBE-GGA) data for a relaxed structure of MgFePbW, as listed in the Open Quantum Materials Database. Values from VASP.

Cell and atoms, written as Quantum ESPRESSO input:
```
&SYSTEM
  ibrav = 0, nat = 4, ntyp = 4
/
ATOMIC_SPECIES
Mg 24.30 Mg.upf
Fe 55.84 Fe.upf
Pb 207.20 Pb.upf
W 183.84 W.upf
CELL_PARAMETERS angstrom
0.0000 3.2281 3.2281
3.2281 0.0000 3.2281
3.2281 3.2281 0.0000
ATOMIC_POSITIONS crystal
Mg 0.0000 0.0000 0.0000
Fe 0.5000 0.5000 0.5000
Pb 0.2500 0.2500 0.2500
W 0.7500 0.7500 0.7500
```

Summary:
For the total moment, the calculation gives 2.0 Bohr magnetons per cell. As for the volume: 16.8 Å³ per atom. For the total energy, the calculation gives -5.80 eV per atom.

***

(9)
First-principles (PBE-GGA) data for a relaxed structure of YMgFePb, as listed in the Open Quantum Materials Database. Values from VASP.

Cell and atoms, written as Quantum ESPRESSO input:
```
&SYSTEM
  ibrav = 0, nat = 4, ntyp = 4
/
ATOMIC_SPECIES
Y 88.91 Y.upf
Mg 24.30 Mg.upf
Fe 55.84 Fe.upf
Pb 207.20 Pb.upf
CELL_PARAMETERS angstrom
0.0000 3.5173 3.5173
3.5173 0.0000 3.5173
3.5173 3.5173 0.0000
ATOMIC_POSITIONS crystal
Y 0.0000 0.0000 0.0000
Mg 0.7500 0.7500 0.7500
Fe 0.5000 0.5000 0.5000
Pb 0.2500 0.2500 0.2500
```

Summary:
For the total moment, the calculation gives 2.2 Bohr magnetons per cell. As for the volume: 21.8 Å³ per atom. For the total energy, the calculation gives -4.85 eV per atom.

***

(10)
First-principles (PBE-GGA) data for a relaxed structure of YMgFePb, as listed in the Open Quantum Materials Database. Values from VASP.

Cell and atoms, written as Quantum ESPRESSO input:
```
&SYSTEM
  ibrav = 0, nat = 4, ntyp = 4
/
ATOMIC_SPECIES
Y 88.91 Y.upf
Mg 24.30 Mg.upf
Fe 55.84 Fe.upf
Pb 207.20 Pb.upf
CELL_PARAMETERS angstrom
0.0000 3.4702 3.4702
3.4702 0.0000 3.4702
3.4702 3.4702 0.0000
ATOMIC_POSITIONS crystal
Y 0.0000 0.0000 0.0000
Mg 0.2500 0.2500 0.2500
Fe 0.7500 0.7500 0.7500
Pb 0.5000 0.5000 0.5000
```

Summary:
For the total moment, the calculation gives 1.5 Bohr magnetons per cell. As for the volume: 20.9 Å³ per atom. For the total energy, the calculation gives -4.85 eV per atom.

***

(11)
First-principles (PBE-GGA) data for a relaxed structure of MgZnFePb, as listed in the Open Quantum Materials Database. Values from VASP.

Cell and atoms, written as Quantum ESPRESSO input:
```
&SYSTEM
  ibrav = 0, nat = 4, ntyp = 4
/
ATOMIC_SPECIES
Mg 24.30 Mg.upf
Zn 65.41 Zn.upf
Fe 55.84 Fe.upf
Pb 207.20 Pb.upf
CELL_PARAMETERS angstrom
0.0000 3.3287 3.3287
3.3287 0.0000 3.3287
3.3287 3.3287 0.0000
ATOMIC_POSITIONS crystal
Mg 0.0000 0.0000 0.0000
Zn 0.7500 0.7500 0.7500
Fe 0.5000 0.5000 0.5000
Pb 0.2500 0.2500 0.2500
```

Summary:
For the total moment, the calculation gives 2.3 Bohr magnetons per cell. As for the volume: 18.4 Å³ per atom. For the total energy, the calculation gives -3.33 eV per atom.

***

(12)
First-principles (PBE-GGA) data for a relaxed structure of Mg3Fe2Pd2, as listed in the Open Quantum Materials Database. Values from VASP.

Cell and atoms, written as Quantum ESPRESSO input:
```
&SYSTEM
  ibrav = 0, nat = 7, ntyp = 3
/
ATOMIC_SPECIES
Mg 24.30 Mg.upf
Fe 55.84 Fe.upf
Pd 106.42 Pd.upf
CELL_PARAMETERS angstrom
2.1577 1.2457 6.9249
-2.1577 1.2457 6.9249
0.0000 -2.4915 6.9249
ATOMIC_POSITIONS crystal
Mg 0.0000 0.0000 0.0000
Mg 0.2523 0.2523 0.2523
Mg 0.5043 0.5043 0.5043
Fe 0.1231 0.1231 0.1231
Fe 0.6386 0.6386 0.6386
Pd 0.3800 0.3800 0.3800
Pd 0.8700 0.8700 0.8700
```

Summary:
For the total moment, the calculation gives 5.1 Bohr magnetons per cell. As for the volume: 16.0 Å³ per atom. For the total energy, the calculation gives -4.37 eV per atom.